# 1
{"formula": "RbDyTe3Pd", "functional": "PBE-GGA", "state": "relaxed", "lattice_angstrom": [[2.2119, -9.0594, 0.0000], [2.2119, 9.0594, 0.0000], [0.0000, 0.0000, 10.1754]], "species": ["Rb", "Rb", "Dy", "Dy", "Te", "Te", "Te", "Te", "Te", "Te", "Pd", "Pd"], "frac_coords": [[0.2469, 0.7531, 0.7500], [0.7531, 0.2469, 0.2500], [0.0000, 0.0000, 0.0000], [0.0000, 0.0000, 0.5000], [0.0940, 0.9060, 0.2500], [0.3895, 0.6105, 0.0852], [0.3895, 0.6105, 0.4148], [0.6105, 0.3895, 0.5852], [0.6105, 0.3895, 0.9148], [0.9060, 0.0940, 0.7500], [0.4964, 0.5036, 0.7500], [0.5036, 0.4964, 0.2500]], "m_tot_mub_per_atom": 0.000, "vol_a3_per_atom": 34.0}



# 2
{"formula": "Cu7Ag3", "functional": "PBE-GGA", "state": "relaxed", "lattice_angstrom": [[2.2938, -6.8561, 0.0000], [2.2938, 6.8561, 0.0000], [-1.3722, 0.0000, 4.3733]], "species": ["Cu", "Cu", "Cu", "Cu", "Cu", "Cu", "Cu", "Ag", "Ag", "Ag"], "frac_coords": [[0.0000, 0.0000, 0.0000], [0.2214, 0.7786, 0.0000], [0.3180, 0.6820, 0.5000], [0.4062, 0.5938, 0.0000], [0.4983, 0.5017, 0.5000], [0.8188, 0.1812, 0.0000], [0.9127, 0.0873, 0.5000], [0.1071, 0.8929, 0.5000], [0.6048, 0.3952, 0.0000], [0.7210, 0.2790, 0.5000]], "ef_ev_per_fu": 0.823, "vol_a3_per_atom": 13.8}



# 3
{"formula": "Nb4AlSbC2", "functional": "PBE-GGA", "state": "relaxed", "lattice_angstrom": [[3.2501, 0.0000, 0.0000], [-1.6251, 2.8147, 0.0000], [0.0000, 0.0000, 13.5238]], "species": ["Nb", "Nb", "Nb", "Nb", "Al", "Sb", "C", "C"], "frac_coords": [[0.0000, 0.0000, 0.1614], [0.0000, 0.0000, 0.8386], [0.3333, 0.6667, 0.3354], [0.3333, 0.6667, 0.6646], [0.3333, 0.6667, 0.0000], [0.0000, 0.0000, 0.5000], [0.6667, 0.3333, 0.2483], [0.6667, 0.3333, 0.7517]], "m_tot_mub_per_atom": 0.001, "vol_a3_per_atom": 15.5}



# 4
{"formula": "Ho5Bi4Te", "functional": "PBE-GGA", "state": "relaxed", "lattice_angstrom": [[-4.9501, 4.9501, 3.1302], [4.9501, -4.9501, 3.1302], [4.9501, 4.9501, -3.1302]], "species": ["Ho", "Ho", "Ho", "Ho", "Ho", "Bi", "Bi", "Bi", "Bi", "Te"], "frac_coords": [[0.0000, 0.0000, 0.0000], [0.1984, 0.3993, 0.5977], [0.3993, 0.8016, 0.2009], [0.6007, 0.1984, 0.7991], [0.8016, 0.6007, 0.4023], [0.1003, 0.7009, 0.8012], [0.2991, 0.1003, 0.3994], [0.7009, 0.8997, 0.6006], [0.8997, 0.2991, 0.1988], [0.5000, 0.5000, 0.0000]], "m_tot_mub_per_atom": 0.001, "vol_a3_per_atom": 30.7}



# 5
{"formula": "PrCuIr", "functional": "PBE-GGA", "state": "relaxed", "lattice_angstrom": [[0.0000, 3.2508, 3.2508], [3.2508, 0.0000, 3.2508], [3.2508, 3.2508, 0.0000]], "species": ["Pr", "Cu", "Ir"], "frac_coords": [[0.0000, 0.0000, 0.0000], [0.5000, 0.5000, 0.5000], [0.7500, 0.7500, 0.7500]], "m_tot_mub_per_atom": 0.059, "ef_ev_per_fu": -0.012, "vol_a3_per_atom": 22.9}



# 6
{"formula": "SmHoGe2Ir", "functional": "PBE-GGA", "state": "relaxed", "lattice_angstrom": [[5.3273, -2.1583, 0.0000], [5.3273, 2.1583, 0.0000], [-4.7638, 0.0000, 9.2802]], "species": ["Sm", "Sm", "Ho", "Ho", "Ge", "Ge", "Ge", "Ge", "Ir", "Ir"], "frac_coords": [[0.0067, 0.0067, 0.3280], [0.9933, 0.9933, 0.6720], [0.1886, 0.1886, 0.1188], [0.8114, 0.8114, 0.8812], [0.3501, 0.3501, 0.4456], [0.4798, 0.4798, 0.1133], [0.5202, 0.5202, 0.8867], [0.6499, 0.6499, 0.5544], [0.2728, 0.2728, 0.6675], [0.7272, 0.7272, 0.3325]], "m_tot_mub_per_atom": 0.000, "vol_a3_per_atom": 21.3}



# 7
{"formula": "Zr4CdSnB2", "functional": "PBE-GGA", "state": "relaxed", "lattice_angstrom": [[3.4468, 0.0000, 0.0000], [-1.7234, 2.9850, 0.0000], [0.0000, 0.0000, 15.2487]], "species": ["Zr", "Zr", "Zr", "Zr", "Cd", "Sn", "B", "B"], "frac_coords": [[0.0000, 0.0000, 0.1607], [0.0000, 0.0000, 0.8393], [0.6667, 0.3333, 0.3321], [0.6667, 0.3333, 0.6679], [0.0000, 0.0000, 0.5000], [0.6667, 0.3333, 0.0000], [0.3333, 0.6667, 0.2464], [0.3333, 0.6667, 0.7536]], "m_tot_mub_per_atom": 0.000, "vol_a3_per_atom": 19.6}



# 8
{"formula": "MgCoOsPb", "functional": "PBE-GGA", "state": "relaxed", "lattice_angstrom": [[0.0000, 3.1852, 3.1852], [3.1852, 0.0000, 3.1852], [3.1852, 3.1852, 0.0000]], "species": ["Mg", "Co", "Os", "Pb"], "frac_coords": [[0.0000, 0.0000, 0.0000], [0.7500, 0.7500, 0.7500], [0.2500, 0.2500, 0.2500], [0.5000, 0.5000, 0.5000]], "m_tot_mub_per_atom": 0.001, "vol_a3_per_atom": 16.2}



# 9
{"formula": "K2SrRe2O7", "functional": "PBE-GGA", "state": "relaxed", "lattice_angstrom": [[-1.9704, 1.9704, 10.6030], [1.9704, -1.9704, 10.6030], [1.9704, 1.9704, -10.6030]], "species": ["K", "K", "Sr", "Re", "Re", "O", "O", "O", "O", "O", "O", "O"], "frac_coords": [[0.1916, 0.1916, 0.0000], [0.8084, 0.8084, 0.0000], [0.0000, 0.0000, 0.0000], [0.4058, 0.4058, 0.0000], [0.5942, 0.5942, 0.0000], [0.0893, 0.5893, 0.5000], [0.3176, 0.3176, 0.0000], [0.4107, 0.9107, 0.5000], [0.5000, 0.5000, 0.0000], [0.5893, 0.0893, 0.5000], [0.6824, 0.6824, 0.0000], [0.9107, 0.4107, 0.5000]], "m_tot_mub_per_atom": 0.001, "vol_a3_per_atom": 13.7}



# 10
{"formula": "Gd2Re", "functional": "PBE-GGA", "state": "relaxed", "lattice_angstrom": [[0.0000, 5.8858, 5.8858], [5.8858, 0.0000, 5.8858], [5.8858, 5.8858, 0.0000]], "species": ["Gd", "Gd", "Gd", "Gd", "Re", "Re"], "frac_coords": [[0.0000, 0.0000, 0.0000], [0.0000, 0.0000, 0.5000], [0.0000, 0.5000, 0.0000], [0.5000, 0.0000, 0.0000], [0.1250, 0.1250, 0.1250], [0.8750, 0.8750, 0.8750]], "m_tot_mub_per_atom": 0.332, "ef_ev_per_fu": 4.922, "vol_a3_per_atom": 68.0}



# 11
{"formula": "SmPaPt", "functional": "PBE-GGA", "state": "relaxed", "lattice_angstrom": [[0.0000, 3.4626, 3.4626], [3.4626, 0.0000, 3.4626], [3.4626, 3.4626, 0.0000]], "species": ["Sm", "Pa", "Pt"], "frac_coords": [[0.0000, 0.0000, 0.0000], [0.5000, 0.5000, 0.5000], [0.7500, 0.7500, 0.7500]], "m_tot_mub_per_atom": 0.311, "ef_ev_per_fu": -0.936, "vol_a3_per_atom": 27.7}



# 12
{"formula": "SrPaRe", "functional": "PBE-GGA", "state": "relaxed", "lattice_angstrom": [[0.0000, 3.4513, 3.4513], [3.4513, 0.0000, 3.4513], [3.4513, 3.4513, 0.0000]], "species": ["Sr", "Pa", "Re"], "frac_coords": [[0.0000, 0.0000, 0.0000], [0.5000, 0.5000, 0.5000], [0.2500, 0.2500, 0.2500]], "m_tot_mub_per_atom": 0.001, "vol_a3_per_atom": 27.4}



# 13
{"formula": "AcTbEr", "functional": "PBE-GGA", "state": "relaxed", "lattice_angstrom": [[0.0000, 3.9757, 3.9757], [3.9757, 0.0000, 3.9757], [3.9757, 3.9757, 0.0000]], "species": ["Ac", "Tb", "Er"], "frac_coords": [[0.0000, 0.0000, 0.0000], [0.5000, 0.5000, 0.5000], [0.2500, 0.2500, 0.2500]], "m_tot_mub_per_atom": 0.005, "ef_ev_per_fu": 2.038, "vol_a3_per_atom": 41.9}



# 14
{"formula": "Tb4In12Fe", "functional": "PBE-GGA", "state": "relaxed", "lattice_angstrom": [[-4.6904, 4.6904, 4.6904], [4.6904, -4.6904, 4.6904], [4.6904, 4.6904, -4.6904]], "species": ["Tb", "Tb", "Tb", "Tb", "In", "In", "In", "In", "In", "In", "In", "In", "In", "In", "In", "In", "Fe"], "frac_coords": [[0.0000, 0.0000, 0.5000], [0.0000, 0.5000, 0.0000], [0.5000, 0.0000, 0.0000], [0.5000, 0.5000, 0.5000], [0.0000, 0.2755, 0.2755], [0.0000, 0.7245, 0.7245], [0.2500, 0.5000, 0.7500], [0.2500, 0.7500, 0.5000], [0.2755, 0.0000, 0.2755], [0.2755, 0.2755, 0.0000], [0.5000, 0.2500, 0.7500], [0.5000, 0.7500, 0.2500], [0.7245, 0.0000, 0.7245], [0.7245, 0.7245, 0.0000], [0.7500, 0.2500, 0.5000], [0.7500, 0.5000, 0.2500], [0.0000, 0.0000, 0.0000]], "m_tot_mub_per_atom": 0.101, "vol_a3_per_atom": 24.3}



# 15
{"formula": "La2ZnAs2IrO2", "functional": "PBE-GGA", "state": "relaxed", "lattice_angstrom": [[4.1333, 0.0000, 0.0000], [0.0000, 4.1333, 0.0000], [0.0000, 0.0000, 8.6334]], "species": ["La", "La", "Zn", "As", "As", "Ir", "O", "O"], "frac_coords": [[0.0000, 0.5000, 0.1387], [0.5000, 0.0000, 0.8613], [0.0000, 0.0000, 0.5000], [0.0000, 0.5000, 0.6663], [0.5000, 0.0000, 0.3337], [0.5000, 0.5000, 0.5000], [0.0000, 0.0000, 0.0000], [0.5000, 0.5000, 0.0000]], "m_tot_mub_per_atom": 0.000, "vol_a3_per_atom": 18.4}



# 16
{"formula": "Sc3HgB", "functional": "PBE-GGA", "state": "relaxed", "lattice_angstrom": [[-3.2633, 3.2633, 4.7304], [3.2633, -3.2633, 4.7304], [3.2633, 3.2633, -4.7304]], "species": ["Sc", "Sc", "Sc", "Sc", "Sc", "Sc", "Hg", "Hg", "B", "B"], "frac_coords": [[0.1986, 0.6986, 0.8973], [0.2500, 0.2500, 0.0000], [0.3014, 0.1986, 0.5000], [0.6986, 0.8014, 0.5000], [0.7500, 0.7500, 0.0000], [0.8014, 0.3014, 0.1027], [0.2500, 0.7500, 0.5000], [0.7500, 0.2500, 0.5000], [0.0000, 0.0000, 0.0000], [0.5000, 0.5000, 0.0000]], "m_tot_mub_per_atom": 0.000, "vol_a3_per_atom": 20.2}



# 17
{"formula": "Be2NiSb", "functional": "PBE-GGA", "state": "relaxed", "lattice_angstrom": [[0.0000, 2.9931, 2.9931], [2.9931, 0.0000, 2.9931], [2.9931, 2.9931, 0.0000]], "species": ["Be", "Be", "Ni", "Sb"], "frac_coords": [[0.0000, 0.0000, 0.0000], [0.2500, 0.2500, 0.2500], [0.5000, 0.5000, 0.5000], [0.7500, 0.7500, 0.7500]], "m_tot_mub_per_atom": 0.001, "vol_a3_per_atom": 13.4}



# 18
{"formula": "Tb3PSe2", "functional": "PBE-GGA", "state": "relaxed", "lattice_angstrom": [[4.0632, 0.0000, 0.0000], [-2.0316, 3.5189, 0.0000], [0.0000, 0.0000, 10.0365]], "species": ["Tb", "Tb", "Tb", "P", "Se", "Se"], "frac_coords": [[0.0000, 0.0000, 0.0000], [0.3333, 0.6667, 0.3486], [0.6667, 0.3333, 0.6514], [0.0000, 0.0000, 0.5000], [0.3333, 0.6667, 0.8314], [0.6667, 0.3333, 0.1686]], "m_tot_mub_per_atom": 0.001, "vol_a3_per_atom": 23.9}



# 19
{"formula": "SmThSn", "functional": "PBE-GGA", "state": "relaxed", "lattice_angstrom": [[0.0000, 3.7073, 3.7073], [3.7073, 0.0000, 3.7073], [3.7073, 3.7073, 0.0000]], "species": ["Sm", "Th", "Sn"], "frac_coords": [[0.0000, 0.0000, 0.0000], [0.5000, 0.5000, 0.5000], [0.2500, 0.2500, 0.2500]], "m_tot_mub_per_atom": 0.000, "vol_a3_per_atom": 34.0}



# 20
{"formula": "BaSiPdPb2", "functional": "PBE-GGA", "state": "relaxed", "lattice_angstrom": [[-2.4419, 2.4419, 5.6327], [2.4419, -2.4419, 5.6327], [2.4419, 2.4419, -5.6327]], "species": ["Ba", "Si", "Pd", "Pb", "Pb"], "frac_coords": [[0.0000, 0.0000, 0.0000], [0.4102, 0.4102, 0.0000], [0.6200, 0.6200, 0.0000], [0.2544, 0.7544, 0.5000], [0.7544, 0.2544, 0.5000]], "vol_a3_per_atom": 26.9}



# 21
{"formula": "Sr2PdSeO6", "functional": "PBE-GGA", "state": "relaxed", "lattice_angstrom": [[5.6236, -2.6184, 0.0000], [5.6236, 2.6184, 0.0000], [-2.7315, 0.0000, 4.8465]], "species": ["Sr", "Sr", "Pd", "Se", "O", "O", "O", "O", "O", "O"], "frac_coords": [[0.1898, 0.1898, 0.1913], [0.8102, 0.8102, 0.8087], [0.5000, 0.5000, 0.0000], [0.5000, 0.5000, 0.5000], [0.2396, 0.7573, 0.2559], [0.2427, 0.7604, 0.7441], [0.2912, 0.2912, 0.7883], [0.7088, 0.7088, 0.2117], [0.7573, 0.2396, 0.2559], [0.7604, 0.2427, 0.7441]], "vol_a3_per_atom": 14.3}



# 22
{"formula": "LuReTe", "functional": "PBE-GGA", "state": "relaxed", "lattice_angstrom": [[0.0000, 3.3397, 3.3397], [3.3397, 0.0000, 3.3397], [3.3397, 3.3397, 0.0000]], "species": ["Lu", "Re", "Te"], "frac_coords": [[0.0000, 0.0000, 0.0000], [0.7500, 0.7500, 0.7500], [0.2500, 0.2500, 0.2500]], "m_tot_mub_per_atom": 0.002, "vol_a3_per_atom": 24.8}



# 23
{"formula": "NdTmZnIr2", "functional": "PBE-GGA", "state": "relaxed", "lattice_angstrom": [[-2.0942, 2.9190, 4.2115], [2.0942, -2.9190, 4.2115], [2.0942, 2.9190, -4.2115]], "species": ["Nd", "Tm", "Zn", "Ir", "Ir"], "frac_coords": [[0.0000, 0.0000, 0.0000], [0.4047, 0.4047, 0.0000], [0.6987, 0.1987, 0.5000], [0.4341, 0.7032, 0.7310], [0.9722, 0.7032, 0.2690]], "m_tot_mub_per_atom": 0.002, "ef_ev_per_fu": -3.652, "vol_a3_per_atom": 20.6}



# 24
{"formula": "RbTmNiS3", "functional": "PBE-GGA", "state": "relaxed", "lattice_angstrom": [[10.9098, 0.0000, 0.0000], [0.0000, 4.1032, 0.0000], [0.0000, 0.0000, 11.9357]], "species": ["Rb", "Rb", "Rb", "Rb", "Tm", "Tm", "Tm", "Tm", "Ni", "Ni", "Ni", "Ni", "S", "S", "S", "S", "S", "S", "S", "S", "S", "S", "S", "S"], "frac_coords": [[0.1598, 0.2500, 0.0054], [0.3402, 0.7500, 0.5054], [0.6598, 0.2500, 0.4946], [0.8402, 0.7500, 0.9946], [0.0067, 0.2500, 0.6580], [0.4933, 0.7500, 0.1580], [0.5067, 0.2500, 0.8420], [0.9933, 0.7500, 0.3420], [0.2385, 0.2500, 0.2913], [0.2615, 0.7500, 0.7913], [0.7385, 0.2500, 0.2087], [0.7615, 0.7500, 0.7087], [0.0567, 0.7500, 0.7994], [0.1141, 0.2500, 0.4486], [0.2203, 0.7500, 0.2263], [0.2797, 0.2500, 0.7263], [0.3859, 0.7500, 0.9486], [0.4433, 0.2500, 0.2994], [0.5567, 0.7500, 0.7006], [0.6141, 0.2500, 0.0514], [0.7203, 0.7500, 0.2737], [0.7797, 0.2500, 0.7737], [0.8859, 0.7500, 0.5514], [0.9433, 0.2500, 0.2006]], "m_tot_mub_per_atom": 0.024, "vol_a3_per_atom": 22.3}



# 25
{"formula": "LuCuSnTe2Se", "functional": "PBE-GGA", "state": "relaxed", "lattice_angstrom": [[2.0847, -7.1616, 0.0000], [2.0847, 7.1616, 0.0000], [0.0000, 0.0000, 10.4124]], "species": ["Lu", "Lu", "Cu", "Cu", "Sn", "Sn", "Te", "Te", "Te", "Te", "Se", "Se"], "frac_coords": [[0.0000, 0.0000, 0.0000], [0.0000, 0.0000, 0.5000], [0.4764, 0.5236, 0.7500], [0.5236, 0.4764, 0.2500], [0.2569, 0.7431, 0.2500], [0.7431, 0.2569, 0.7500], [0.3530, 0.6470, 0.5602], [0.3530, 0.6470, 0.9398], [0.6470, 0.3530, 0.0602], [0.6470, 0.3530, 0.4398], [0.0740, 0.9260, 0.7500], [0.9260, 0.0740, 0.2500]], "m_tot_mub_per_atom": 0.001, "vol_a3_per_atom": 25.9}



| no. | uncorrected energy (hartree per atom) |
| --- | --- |
| 1 | -0.15945 |
| 2 | -0.12373 |
| 3 | -0.32191 |
| 4 | -0.19030 |
| 5 | -0.21264 |
| 6 | -0.23424 |
| 7 | -0.25738 |
| 8 | -0.19895 |
| 9 | -0.26268 |
| 10 | -0.20591 |
| 11 | -0.25968 |
| 12 | -0.25849 |
| 13 | -0.13795 |
| 14 | -0.14129 |
| 15 | -0.24551 |
| 16 | -0.20261 |
| 17 | -0.14098 |
| 18 | -0.22644 |
| 19 | -0.20558 |
| 20 | -0.16193 |
| 21 | -0.19770 |
| 22 | -0.21521 |
| 23 | -0.23420 |
| 24 | -0.18825 |
| 25 | -0.16144 |